one | VASP calculation (PBE-GGA) on a geometry-optimized CaPrHg3 structure.

Its density is 9.60 g/cm³.

The space group is Cmcm (No. 63) and the conventional cell measures 3.641, 29.549 and 5.033 Å, with angles of 90.00, 90.00 and 90.00 degrees. The inequivalent atoms are Ca at (0.000, 0.210, 0.250), Pr at (0.000, 0.075, 0.750), Hg at (0.000, 0.320, 0.250), Hg at (0.000, 0.378, 0.750) and Hg at (0.000, 0.476, 0.750).

two | VASP calculation (PBE-GGA) on a geometry-optimized CaPrHg3 structure.

Its density is 8.68 g/cm³.

The space group is P6_3/mmc (No. 194) and the conventional cell measures 7.0990, 7.0990 and 6.8659 Å, with angles of 90.00, 90.00 and 120.00 degrees. The inequivalent atoms are Ca at (0.0000, 0.0000, 0.0000), Pr at (0.3333, 0.6667, 0.2500) and Hg at (0.1979, 0.3958, 0.7500).

The computed energies, referenced to the most stable structure and given in meV/atom, are one 0; two 216.

one | VASP calculation (PBE-GGA) on a geometry-optimized CaPrHg6 structure.

Its density is 11.24 g/cm³.

The space group is Amm2 (No. 38) and the conventional cell measures 5.172, 6.782 and 11.664 Å, with angles of 90.00, 90.00 and 90.00 degrees. The inequivalent atoms are Ca at (0.000, 0.000, 0.000), Pr at (0.500, 0.000, 0.672), Hg at (0.000, 0.000, 0.501), Hg at (0.000, 0.242, 0.254), Hg at (0.500, 0.000, 0.171) and Hg at (0.500, 0.242, 0.418).

two | VASP calculation (PBE-GGA) on a geometry-optimized CaPrHg6 structure.

Its density is 11.02 g/cm³.

The space group is P4/mmm (No. 123) and the conventional cell measures 4.739, 4.739 and 9.290 Å, with angles of 90.00, 90.00 and 90.00 degrees. The inequivalent atoms are Ca at (0.000, 0.000, 0.000), Pr at (0.000, 0.000, 0.500), Hg at (0.000, 0.500, 0.249), Hg at (0.500, 0.500, 0.000) and Hg at (0.500, 0.500, 0.500).

The computed energies, referenced to the most stable structure and given in meV/atom, are one 0; two 22.

one | VASP calculation (PBE-GGA) on a geometry-optimized CaPrZnHg structure.

Its density is 6.93 g/cm³.

The space group is P4mm (No. 99) and the conventional cell measures 3.767, 3.767 and 7.542 Å, with angles of 90.00, 90.00 and 90.00 degrees. The inequivalent atoms are Ca at (0.000, 0.000, 0.000), Pr at (0.000, 0.000, 0.522), Zn at (0.500, 0.500, 0.754) and Hg at (0.500, 0.500, 0.255).

two | VASP calculation (PBE-GGA) on a geometry-optimized CaPrZnHg structure.

Its density is 6.96 g/cm³.

The space group is F-43m (No. 216) and the conventional cell measures 7.527, 7.527 and 7.527 Å, with angles of 90.00, 90.00 and 90.00 degrees. The inequivalent atoms are Ca at (0.000, 0.000, 0.000), Pr at (0.000, 0.000, 0.500), Zn at (0.250, 0.250, 0.750) and Hg at (0.250, 0.250, 0.250).

The computed energies, referenced to the most stable structure and given in meV/atom, are one 26; two 0.

one | VASP calculation (PBE-GGA) on a geometry-optimized CaHgPt3 structure.

Its density is 10.61 g/cm³.

The space group is Pm-3m (No. 221) and the conventional cell measures 5.057, 5.057 and 5.057 Å, with angles of 90.00, 90.00 and 90.00 degrees. The inequivalent atoms are Ca at (0.000, 0.000, 0.000), Hg at (0.500, 0.500, 0.500) and Pt at (0.000, 0.500, 0.500).

two | VASP calculation (PBE-GGA) on a geometry-optimized CaHgPt3 structure.

Its density is 11.14 g/cm³.

The space group is Pm-3m (No. 221) and the conventional cell measures 4.975, 4.975 and 4.975 Å, with angles of 90.00, 90.00 and 90.00 degrees. The inequivalent atoms are Ca at (0.000, 0.000, 0.000), Hg at (0.500, 0.500, 0.500) and Pt at (0.000, 0.000, 0.500).

The computed energies, referenced to the most stable structure and given in meV/atom, are one 0; two 574.

one | VASP calculation (PBE-GGA) on a geometry-optimized Ca4HgPt structure.

Its density is 5.48 g/cm³.

The space group is F-43m (No. 216) and the conventional cell measures 8.769, 8.769 and 8.769 Å, with angles of 90.00, 90.00 and 90.00 degrees. The inequivalent atoms are Ca at (0.124, 0.124, 0.376), Hg at (0.000, 0.000, 0.000) and Pt at (0.250, 0.250, 0.750).

two | VASP calculation (PBE-GGA) on a geometry-optimized Ca4HgPt structure.

Its density is 5.00 g/cm³.

The space group is C2/c (No. 15) and the conventional cell measures 9.433, 13.707 and 6.638 Å, with angles of 90.00, 120.53 and 90.00 degrees. The inequivalent atoms are Ca at (0.115, 0.172, 0.083), Ca at (0.212, 0.436, 0.293), Hg at (0.000, 0.366, 0.750) and Pt at (0.000, 0.002, 0.250).

The computed energies, referenced to the most stable structure and given in meV/atom, are one 910; two 0.

one | VASP calculation (PBE-GGA) on a geometry-optimized Ca3HgPt structure.

Its density is 5.93 g/cm³.

The space group is P2_1/c (No. 14) and the conventional cell measures 9.117, 7.472 and 8.637 Å, with angles of 90.00, 100.95 and 90.00 degrees. The inequivalent atoms are Ca at (0.042, 0.003, 0.207), Ca at (0.265, 0.644, 0.077), Ca at (0.345, 0.182, 0.963), Hg at (0.429, 0.549, 0.788) and Pt at (0.059, 0.180, 0.513).

two | VASP calculation (PBE-GGA) on a geometry-optimized Ca3HgPt structure.

Its density is 5.49 g/cm³.

The space group is Cmmm (No. 65) and the conventional cell measures 10.194, 14.655 and 4.175 Å, with angles of 90.00, 90.00 and 90.00 degrees. The inequivalent atoms are Ca at (0.000, 0.170, 0.000), Ca at (0.189, 0.375, 0.500), Hg at (0.000, 0.000, 0.500), Hg at (0.000, 0.500, 0.000) and Pt at (0.250, 0.250, 0.000).

three | VASP calculation (PBE-GGA) on a geometry-optimized Ca3HgPt structure.

Its density is 5.06 g/cm³.

The space group is Pm-3m (No. 221) and the conventional cell measures 5.533, 5.533 and 5.533 Å, with angles of 90.00, 90.00 and 90.00 degrees. The inequivalent atoms are Ca at (0.000, 0.000, 0.500), Hg at (0.500, 0.500, 0.500) and Pt at (0.000, 0.000, 0.000).

The computed energies, referenced to the most stable structure and given in meV/atom, are one 0; two 64; three 122.